Material: SrPmAgPb
Method: DFT, PBE
State: relaxed

M_tot ... 0.0 Bohr magnetons per cell

Cell lengths 7.8313, 7.8313, 7.8313 Å; angles 90.00, 90.00, 90.00 degrees
Last column: nearest neighbours and their distance in Å.
Space group F-43m (No. 216)
One atom of each set of equivalent atoms:
Sr (0.0000, 0.0000, 0.0000) x4  4 Pb 3.39, 4 Ag 3.39
Pm (0.0000, 0.0000, 0.5000) x4  4 Ag 3.39, 4 Pb 3.39
Ag (0.2500, 0.2500, 0.7500) x4  4 Pm 3.39, 4 Sr 3.39
Pb (0.2500, 0.2500, 0.2500) x4  4 Pm 3.39, 4 Sr 3.39

=====

Material: Pm2ThAg2Pb2
Method: DFT, PBE
State: relaxed

M_tot ... 0.0 Bohr magnetons per cell

Cell lengths 5.0173, 5.0173, 26.4217 Å; angles 90.00, 90.00, 120.00 degrees
Last column: nearest neighbours and their distance in Å.
Space group R-3m (No. 166, hexagonal axes)
One atom of each set of equivalent atoms:
Pm (0.0000, 0.0000, 0.1331) x6  3 Ag 3.00
Th (0.0000, 0.0000, 0.0000) x3  6 Pb 3.36, 2 Pm 3.52
Ag (0.0000, 0.0000, 0.4372) x6  3 Pm 3.00, 3 Pb 3.08, 1 Ag 3.32
Pb (0.0000, 0.0000, 0.2686) x6  3 Ag 3.08, 3 Th 3.36, 3 Pm 3.41

=====

Material: PmThAgPb
Method: DFT, PBE
State: relaxed

M_tot ... 0.0 Bohr magnetons per cell

Cell lengths 7.6683, 7.6683, 7.6683 Å; angles 90.00, 90.00, 90.00 degrees
Last column: nearest neighbours and their distance in Å.
Space group F-43m (No. 216)
One atom of each set of equivalent atoms:
Pm (0.0000, 0.0000, 0.0000) x4  4 Pb 3.32, 4 Ag 3.32
Th (0.0000, 0.0000, 0.5000) x4  4 Pb 3.32, 4 Ag 3.32
Ag (0.2500, 0.2500, 0.7500) x4  4 Th 3.32, 4 Pm 3.32
Pb (0.2500, 0.2500, 0.2500) x4  4 Th 3.32, 4 Pm 3.32

=====

Material: Pm2YAg2Pb2
Method: DFT, PBE
State: relaxed

M_tot ... 0.0 Bohr magnetons per cell

Cell lengths 4.9643, 4.9643, 26.4340 Å; angles 90.00, 90.00, 120.00 degrees
Last column: nearest neighbours and their distance in Å.
Space group R-3m (No. 166, hexagonal axes)
One atom of each set of equivalent atoms:
Pm (0.0000, 0.0000, 0.1355) x6  3 Ag 2.98, 3 Pm 3.31
Y (0.0000, 0.0000, 0.0000) x3  6 Pb 3.32, 2 Pm 3.58
Ag (0.0000, 0.0000, 0.4376) x6  3 Pm 2.98, 3 Pb 3.06, 1 Ag 3.30
Pb (0.0000, 0.0000, 0.2700) x6  3 Ag 3.06, 3 Y 3.32

=====

Material: PmZnAgPb
Method: DFT, PBE
State: relaxed

M_tot ... 0.0 Bohr magnetons per cell

Cell lengths 7.2181, 7.2181, 7.2181 Å; angles 90.00, 90.00, 90.00 degrees
Last column: nearest neighbours and their distance in Å.
Space group F-43m (No. 216)
One atom of each set of equivalent atoms:
Pm (0.0000, 0.0000, 0.0000) x4  4 Zn 3.13, 4 Ag 3.13
Zn (0.2500, 0.2500, 0.2500) x4  4 Pb 3.13, 4 Pm 3.13
Ag (0.2500, 0.2500, 0.7500) x4  4 Pb 3.13, 4 Pm 3.13
Pb (0.0000, 0.0000, 0.5000) x4  4 Zn 3.13, 4 Ag 3.13

=====

Material: Pr2Ag2Pb
Method: DFT, PBE
State: relaxed

M_tot ... 0.0 Bohr magnetons per cell

Cell lengths 10.6941, 6.8858, 8.0535 Å; angles 90.00, 112.97, 90.00 degrees
Last column: nearest neighbours and their distance in Å.
Space group C2/c (No. 15)
One atom of each set of equivalent atoms:
Pr (0.1752, 0.0845, 0.1538) x8  5 Ag 3.22-3.29, 3 Pb 3.35-3.42
Ag (0.1030, 0.3342, 0.4420) x8  2 Ag 3.02-3.13, 2 Pb 3.03-3.10, 5 Pr 3.22-3.29
Pb (0.0000, 0.2841, 0.7500) x4  4 Ag 3.03-3.10, 4 Pr 3.35-3.37

=====

Across the entries above, formation energy takes the values -415; -187; -247; -263; -241; -303 meV/atom, respectively.
Across the entries above, V takes the values 480.3; 576.0; 450.9; 564.2; 376.1; 546.0 Å³ per cell, respectively.